FeCuMo2: optimized geometry, PBE-GGA.

Unit cell a=5.446 b=5.446 c=5.446 alpha=102.56 beta=102.56 gamma=124.41
Atoms (fractional coordinates):
Fe  0.000  0.000  0.000
Fe  0.750  0.250  0.500
Cu  0.250  0.750  0.500
Cu  0.500  0.500  0.000
Mo  0.087  0.625  0.962
Mo  0.375  0.337  0.462
Mo  0.663  0.125  0.038
Mo  0.875  0.913  0.538

Output
calculated formation energy	635	meV/atom
calculated volume	14.74	Å³ per atom



FeCuMo2: optimized geometry, PBE-GGA.

Unit cell a=3.777 b=3.777 c=3.847 alpha=90.00 beta=90.00 gamma=90.00
Atoms (fractional coordinates):
Fe  0.000  0.000  0.000
Cu  0.500  0.500  0.000
Mo  0.000  0.500  0.500
Mo  0.500  0.000  0.500

Output
calculated formation energy	200	meV/atom
calculated volume	13.72	Å³ per atom



Copy entry 1 word for word.
FeCuMo2: optimized geometry, PBE-GGA.

Unit cell a=5.446 b=5.446 c=5.446 alpha=102.56 beta=102.56 gamma=124.41
Atoms (fractional coordinates):
Fe  0.000  0.000  0.000
Fe  0.750  0.250  0.500
Cu  0.250  0.750  0.500
Cu  0.500  0.500  0.000
Mo  0.087  0.625  0.962
Mo  0.375  0.337  0.462
Mo  0.663  0.125  0.038
Mo  0.875  0.913  0.538

Output
calculated formation energy	635	meV/atom
calculated volume	14.74	Å³ per atom



calculated formation energy of number 2 (FeCuMo2)?
200 meV/atom



Number 1 is which compound?
FeCuMo2



Which formula does entry 2 have?
FeCuMo2